Entry 1:
# Li2PaTcN4

A geometry-optimized Li2PaTcN4 structure (PBE, Alexandria).

Geometry as CIF:
```
data_Li2PaTcN4
_cell_length_a 3.252
_cell_length_b 12.156
_cell_length_c 9.437
_cell_angle_alpha 90.00
_cell_angle_beta 90.00
_cell_angle_gamma 90.00
_space_group_name_H-M_alt 'C m c m'
_space_group_IT_number 63
_space_group_name_Hall '-C 2c 2'
loop_
_atom_site_label
_atom_site_type_symbol
_atom_site_fract_x
_atom_site_fract_y
_atom_site_fract_z
Li1 Li 0.000 0.093 0.039
Pa1 Pa 0.000 0.454 0.250
Tc1 Tc 0.000 0.285 0.750
N1 N 0.000 0.100 0.250
N2 N 0.000 0.189 0.613
N3 N 0.000 0.500 0.000
```

Formation energy (no corrections), eV/atom: -0.448
VASP energy, eV per atom: -7.5719
Total magnetic moment, μB per formula unit: 0.1
Density of states at the Fermi level, states/eV/cell: 13.66

Entry 2:
# NdSmMgPd

A geometry-optimized NdSmMgPd structure (PBE, Alexandria).

Geometry as CIF:
```
data_NdSmMgPd
_cell_length_a 7.454
_cell_length_b 7.454
_cell_length_c 7.454
_cell_angle_alpha 90.00
_cell_angle_beta 90.00
_cell_angle_gamma 90.00
_space_group_name_H-M_alt 'F -4 3 m'
_space_group_IT_number 216
_space_group_name_Hall 'F -4 2 3'
loop_
_atom_site_label
_atom_site_type_symbol
_atom_site_fract_x
_atom_site_fract_y
_atom_site_fract_z
Nd1 Nd 0.000 0.000 0.000
Sm1 Sm 0.000 0.000 0.500
Mg1 Mg 0.250 0.250 0.750
Pd1 Pd 0.250 0.250 0.250
```

VASP energy, eV per atom: -4.4033
E_form, eV/atom: -0.335
Total magnetic moment, μB per formula unit: 0.0
Density of states at the Fermi level, states/eV/cell: 14.44

Entry 3:
# Rb3Pm2US6

A geometry-optimized Rb3Pm2US6 structure (PBE, Alexandria).

Geometry as CIF:
```
data_Rb3Pm2US6
_cell_length_a 7.217
_cell_length_b 12.506
_cell_length_c 8.077
_cell_angle_alpha 90.00
_cell_angle_beta 107.34
_cell_angle_gamma 90.00
_space_group_name_H-M_alt 'C 1 2/m 1'
_space_group_IT_number 12
loop_
_space_group_symop_operation_xyz
'x,y,z'
'-x,-y,-z'
'-x,y,-z'
'x,-y,z'
'x+1/2,y+1/2,z'
'-x+1/2,-y+1/2,-z'
'-x+1/2,y+1/2,-z'
'x+1/2,-y+1/2,z'
loop_
_atom_site_label
_atom_site_type_symbol
_atom_site_fract_x
_atom_site_fract_y
_atom_site_fract_z
Rb1 Rb 0.000 0.000 0.000
Rb2 Rb 0.000 0.332 0.000
Pm1 Pm 0.000 0.166 0.500
U1 U 0.000 0.500 0.500
S1 S 0.229 0.336 0.695
S2 S 0.238 0.000 0.696
```

Formation energy (no corrections), eV/atom: -1.654
VASP energy, eV per atom: -5.6919
Total magnetic moment, μB per formula unit: 3.0
Density of states at the Fermi level, states/eV/cell: 20.96

Entry 4:
# K2MgZnH6

A geometry-optimized K2MgZnH6 structure (PBE, Alexandria).

Geometry as CIF:
```
data_K2MgZnH6
_cell_length_a 7.839
_cell_length_b 7.839
_cell_length_c 7.839
_cell_angle_alpha 90.00
_cell_angle_beta 90.00
_cell_angle_gamma 90.00
_space_group_name_H-M_alt 'F m -3 m'
_space_group_IT_number 225
_space_group_name_Hall '-F 4 2 3'
loop_
_atom_site_label
_atom_site_type_symbol
_atom_site_fract_x
_atom_site_fract_y
_atom_site_fract_z
K1 K 0.250 0.250 0.250
Mg1 Mg 0.000 0.000 0.000
Zn1 Zn 0.000 0.000 0.500
H1 H 0.000 0.000 0.258
```

VASP energy, eV per atom: -2.6761
Total magnetic moment, μB per formula unit: 0.0
Density of states at the Fermi level, states/eV/cell: 0.17

Q: Look up the VASP energy of the fourth one.
A: -2.6761 eV per atom